[1]
# NiBH PBE-GGA optimized geometry
data_NiBH
_chemical_formula_sum 'Ni1 B1 H1'
_symmetry_space_group_name_H-M 'P 1'
_symmetry_Int_Tables_number 1
_cell_length_a 2.359
_cell_length_b 3.237
_cell_length_c 3.303
_cell_angle_alpha 90.00
_cell_angle_beta 90.00
_cell_angle_gamma 90.00
loop_
_symmetry_equiv_pos_as_xyz
'x,y,z'
loop_
_atom_site_label
_atom_site_type_symbol
_atom_site_fract_x
_atom_site_fract_y
_atom_site_fract_z
Ni1 Ni 0.000 0.000 0.000
B1 B 0.500 0.500 0.000
H1 H 0.000 0.000 0.500
# Raw total energy, eV/cell: -14.66
# Volume, Å³ per cell: 25
# SG: No. 47
# D(E_F), states/eV/f.u.: 0.67

[2]
# K2ZnCd4Sn3 PBE-GGA optimized geometry
data_K2ZnCd4Sn3
_chemical_formula_sum 'K2 Zn1 Cd4 Sn3'
_symmetry_space_group_name_H-M 'P 1'
_symmetry_Int_Tables_number 1
_cell_length_a 4.869
_cell_length_b 4.869
_cell_length_c 12.286
_cell_angle_alpha 90.00
_cell_angle_beta 90.00
_cell_angle_gamma 90.00
loop_
_symmetry_equiv_pos_as_xyz
'x,y,z'
loop_
_atom_site_label
_atom_site_type_symbol
_atom_site_fract_x
_atom_site_fract_y
_atom_site_fract_z
K1 K 0.000 0.500 0.249
K2 K 0.500 0.000 0.751
Zn1 Zn 0.500 0.500 0.000
Cd1 Cd 0.000 0.000 0.500
Cd2 Cd 0.000 0.500 0.870
Cd3 Cd 0.500 0.000 0.130
Cd4 Cd 0.500 0.500 0.500
Sn1 Sn 0.000 0.000 0.000
Sn2 Sn 0.000 0.500 0.638
Sn3 Sn 0.500 0.000 0.362
# Raw total energy, eV/cell: -20.17
# Volume, Å³ per cell: 291
# SG: No. 115
# D(E_F), states/eV/f.u.: 4.58

[3]
# Sc2TcMo PBE-GGA optimized geometry
data_Sc2TcMo
_chemical_formula_sum 'Sc6 Tc3 Mo3'
_symmetry_space_group_name_H-M 'P 1'
_symmetry_Int_Tables_number 1
_cell_length_a 3.006
_cell_length_b 3.006
_cell_length_c 28.516
_cell_angle_alpha 90.00
_cell_angle_beta 90.00
_cell_angle_gamma 120.00
loop_
_symmetry_equiv_pos_as_xyz
'x,y,z'
loop_
_atom_site_label
_atom_site_type_symbol
_atom_site_fract_x
_atom_site_fract_y
_atom_site_fract_z
Sc1 Sc 0.000 0.000 0.094
Sc2 Sc 0.000 0.000 0.906
Sc3 Sc 0.333 0.667 0.573
Sc4 Sc 0.333 0.667 0.760
Sc5 Sc 0.667 0.333 0.240
Sc6 Sc 0.667 0.333 0.427
Tc1 Tc 0.000 0.000 0.500
Tc2 Tc 0.333 0.667 0.167
Tc3 Tc 0.667 0.333 0.833
Mo1 Mo 0.000 0.000 0.000
Mo2 Mo 0.333 0.667 0.667
Mo3 Mo 0.667 0.333 0.333
# Raw total energy, eV/cell: -96.11
# Volume, Å³ per cell: 223
# SG: No. 166
# D(E_F), states/eV/f.u.: 5.89

[4]
# Tm2ZrSc PBE-GGA optimized geometry
data_Tm2ZrSc
_chemical_formula_sum 'Tm8 Zr4 Sc4'
_symmetry_space_group_name_H-M 'P 1'
_symmetry_Int_Tables_number 1
_cell_length_a 7.550
_cell_length_b 7.550
_cell_length_c 7.550
_cell_angle_alpha 90.00
_cell_angle_beta 90.00
_cell_angle_gamma 90.00
loop_
_symmetry_equiv_pos_as_xyz
'x,y,z'
loop_
_atom_site_label
_atom_site_type_symbol
_atom_site_fract_x
_atom_site_fract_y
_atom_site_fract_z
Tm1 Tm 0.250 0.250 0.250
Tm2 Tm 0.250 0.250 0.750
Tm3 Tm 0.250 0.750 0.250
Tm4 Tm 0.250 0.750 0.750
Tm5 Tm 0.750 0.250 0.250
Tm6 Tm 0.750 0.250 0.750
Tm7 Tm 0.750 0.750 0.250
Tm8 Tm 0.750 0.750 0.750
Zr1 Zr 0.000 0.000 0.000
Zr2 Zr 0.000 0.500 0.500
Zr3 Zr 0.500 0.000 0.500
Zr4 Zr 0.500 0.500 0.000
Sc1 Sc 0.000 0.000 0.500
Sc2 Sc 0.000 0.500 0.000
Sc3 Sc 0.500 0.000 0.000
Sc4 Sc 0.500 0.500 0.500
# Raw total energy, eV/cell: -92.43
# Volume, Å³ per cell: 430
# SG: No. 225
# D(E_F), states/eV/f.u.: 7.23

[5]
# Li4GaAu7 PBE-GGA optimized geometry
data_Li4GaAu7
_chemical_formula_sum 'Li4 Ga1 Au7'
_symmetry_space_group_name_H-M 'P 1'
_symmetry_Int_Tables_number 1
_cell_length_a 5.714
_cell_length_b 5.714
_cell_length_c 9.737
_cell_angle_alpha 113.52
_cell_angle_beta 113.52
_cell_angle_gamma 51.39
loop_
_symmetry_equiv_pos_as_xyz
'x,y,z'
loop_
_atom_site_label
_atom_site_type_symbol
_atom_site_fract_x
_atom_site_fract_y
_atom_site_fract_z
Li1 Li 0.101 0.101 0.273
Li2 Li 0.312 0.312 0.867
Li3 Li 0.688 0.688 0.133
Li4 Li 0.899 0.899 0.727
Ga1 Ga 0.500 0.500 0.500
Au1 Au 0.000 0.000 0.500
Au2 Au 0.135 0.135 0.005
Au3 Au 0.290 0.290 0.586
Au4 Au 0.428 0.428 0.190
Au5 Au 0.572 0.572 0.810
Au6 Au 0.710 0.710 0.414
Au7 Au 0.865 0.865 0.995
# Raw total energy, eV/cell: -37.63
# Volume, Å³ per cell: 223
# SG: No. 12
# D(E_F), states/eV/f.u.: 2.67

[6]
# BeHg2Sb PBE-GGA optimized geometry
data_BeHg2Sb
_chemical_formula_sum 'Be1 Hg2 Sb1'
_symmetry_space_group_name_H-M 'P 1'
_symmetry_Int_Tables_number 1
_cell_length_a 3.104
_cell_length_b 3.104
_cell_length_c 8.893
_cell_angle_alpha 90.00
_cell_angle_beta 90.00
_cell_angle_gamma 90.00
loop_
_symmetry_equiv_pos_as_xyz
'x,y,z'
loop_
_atom_site_label
_atom_site_type_symbol
_atom_site_fract_x
_atom_site_fract_y
_atom_site_fract_z
Be1 Be 0.000 0.000 0.000
Hg1 Hg 0.500 0.500 0.185
Hg2 Hg 0.500 0.500 0.815
Sb1 Sb 0.000 0.000 0.500
# Volume, Å³ per cell: 86
# SG: No. 123
# Formation energy without anion corrections, eV per atom: 0.418
# D(E_F), states/eV/f.u.: 2.33

[7]
# IrRhW2 PBE-GGA optimized geometry
data_IrRhW2
_chemical_formula_sum 'Ir1 Rh1 W2'
_symmetry_space_group_name_H-M 'P 1'
_symmetry_Int_Tables_number 1
_cell_length_a 2.787
_cell_length_b 4.474
_cell_length_c 4.847
_cell_angle_alpha 90.00
_cell_angle_beta 90.00
_cell_angle_gamma 90.00
loop_
_symmetry_equiv_pos_as_xyz
'x,y,z'
loop_
_atom_site_label
_atom_site_type_symbol
_atom_site_fract_x
_atom_site_fract_y
_atom_site_fract_z
Ir1 Ir 0.000 0.000 0.000
Rh1 Rh 0.000 0.500 0.644
W1 W 0.500 0.000 0.498
W2 W 0.500 0.500 0.150
# Raw total energy, eV/cell: -43.04
# Volume, Å³ per cell: 60
# SG: No. 25
# D(E_F), states/eV/f.u.: 2.67

[8]
# InTeRu PBE-GGA optimized geometry
data_InTeRu
_chemical_formula_sum 'In4 Te4 Ru4'
_symmetry_space_group_name_H-M 'P 1'
_symmetry_Int_Tables_number 1
_cell_length_a 6.439
_cell_length_b 6.439
_cell_length_c 6.439
_cell_angle_alpha 90.00
_cell_angle_beta 90.00
_cell_angle_gamma 90.00
loop_
_symmetry_equiv_pos_as_xyz
'x,y,z'
loop_
_atom_site_label
_atom_site_type_symbol
_atom_site_fract_x
_atom_site_fract_y
_atom_site_fract_z
In1 In 0.000 0.000 0.000
In2 In 0.000 0.500 0.500
In3 In 0.500 0.000 0.500
In4 In 0.500 0.500 0.000
Te1 Te 0.000 0.000 0.500
Te2 Te 0.000 0.500 0.000
Te3 Te 0.500 0.000 0.000
Te4 Te 0.500 0.500 0.500
Ru1 Ru 0.250 0.250 0.250
Ru2 Ru 0.250 0.750 0.750
Ru3 Ru 0.750 0.250 0.750
Ru4 Ru 0.750 0.750 0.250
# Volume, Å³ per cell: 267
# SG: No. 216
# Formation energy without anion corrections, eV per atom: 0.055
# D(E_F), states/eV/f.u.: 3.31

[9]
# VGa2Ru PBE-GGA optimized geometry
data_VGa2Ru
_chemical_formula_sum 'V1 Ga2 Ru1'
_symmetry_space_group_name_H-M 'P 1'
_symmetry_Int_Tables_number 1
_cell_length_a 3.835
_cell_length_b 3.835
_cell_length_c 3.866
_cell_angle_alpha 90.00
_cell_angle_beta 90.00
_cell_angle_gamma 90.00
loop_
_symmetry_equiv_pos_as_xyz
'x,y,z'
loop_
_atom_site_label
_atom_site_type_symbol
_atom_site_fract_x
_atom_site_fract_y
_atom_site_fract_z
V1 V 0.000 0.000 0.000
Ga1 Ga 0.000 0.500 0.500
Ga2 Ga 0.500 0.000 0.500
Ru1 Ru 0.500 0.500 0.000
# Raw total energy, eV/cell: -24.97
# Volume, Å³ per cell: 57
# SG: No. 123
# D(E_F), states/eV/f.u.: 4.22

[10]
# SrHfIN2 PBE-GGA optimized geometry
data_SrHfIN2
_chemical_formula_sum 'Sr1 Hf1 I1 N2'
_symmetry_space_group_name_H-M 'P 1'
_symmetry_Int_Tables_number 1
_cell_length_a 4.490
_cell_length_b 4.490
_cell_length_c 5.843
_cell_angle_alpha 90.00
_cell_angle_beta 90.00
_cell_angle_gamma 90.00
loop_
_symmetry_equiv_pos_as_xyz
'x,y,z'
loop_
_atom_site_label
_atom_site_type_symbol
_atom_site_fract_x
_atom_site_fract_y
_atom_site_fract_z
Sr1 Sr 0.000 0.000 0.000
Hf1 Hf 0.500 0.500 0.500
I1 I 0.000 0.000 0.500
N1 N 0.000 0.500 0.000
N2 N 0.500 0.000 0.000
# Volume, Å³ per cell: 118
# SG: No. 123
# Formation energy without anion corrections, eV per atom: 1.640
# D(E_F), states/eV/f.u.: 6.30

[11]
# AsRhSe2Br PBE-GGA optimized geometry
data_AsRhSe2Br
_chemical_formula_sum 'As1 Rh1 Se2 Br1'
_symmetry_space_group_name_H-M 'P 1'
_symmetry_Int_Tables_number 1
_cell_length_a 5.026
_cell_length_b 5.026
_cell_length_c 5.073
_cell_angle_alpha 90.00
_cell_angle_beta 90.00
_cell_angle_gamma 90.00
loop_
_symmetry_equiv_pos_as_xyz
'x,y,z'
loop_
_atom_site_label
_atom_site_type_symbol
_atom_site_fract_x
_atom_site_fract_y
_atom_site_fract_z
As1 As 0.000 0.000 0.000
Rh1 Rh 0.500 0.500 0.000
Se1 Se 0.000 0.500 0.500
Se2 Se 0.500 0.000 0.500
Br1 Br 0.000 0.000 0.500
# Volume, Å³ per cell: 128
# SG: No. 123
# Formation energy without anion corrections, eV per atom: 1.475
# D(E_F), states/eV/f.u.: 6.74

[12]
# CeThBiI PBE-GGA optimized geometry
data_CeThBiI
_chemical_formula_sum 'Ce4 Th4 Bi4 I4'
_symmetry_space_group_name_H-M 'P 1'
_symmetry_Int_Tables_number 1
_cell_length_a 7.813
_cell_length_b 7.813
_cell_length_c 7.813
_cell_angle_alpha 90.00
_cell_angle_beta 90.00
_cell_angle_gamma 90.00
loop_
_symmetry_equiv_pos_as_xyz
'x,y,z'
loop_
_atom_site_label
_atom_site_type_symbol
_atom_site_fract_x
_atom_site_fract_y
_atom_site_fract_z
Ce1 Ce 0.000 0.000 0.000
Ce2 Ce 0.000 0.500 0.500
Ce3 Ce 0.500 0.000 0.500
Ce4 Ce 0.500 0.500 0.000
Th1 Th 0.000 0.000 0.500
Th2 Th 0.000 0.500 0.000
Th3 Th 0.500 0.000 0.000
Th4 Th 0.500 0.500 0.500
Bi1 Bi 0.250 0.250 0.250
Bi2 Bi 0.250 0.750 0.750
Bi3 Bi 0.750 0.250 0.750
Bi4 Bi 0.750 0.750 0.250
I1 I 0.250 0.250 0.750
I2 I 0.250 0.750 0.250
I3 I 0.750 0.250 0.250
I4 I 0.750 0.750 0.750
# Volume, Å³ per cell: 477
# SG: No. 216
# Formation energy without anion corrections, eV per atom: -0.638
# D(E_F), states/eV/f.u.: 8.30